No. 1
VASP calculation (PBEsol) on a relaxed LiCa3 crystal.

Cell: 3.8136 3.8136 11.6426 Å, 90.00 90.00 120.00°
Closest atoms and distances in Å follow each position.
Space group P-6m2 (No. 187)
Asymmetric unit:
Li1 0.0000 0.0000 0.0000  6 Ca 3.46, 6 Li 3.81
Ca1 0.0000 0.0000 0.5000  12 Ca 3.81-3.85
Ca2 0.6667 0.3333 0.2290  3 Li 3.46, 9 Ca 3.81-3.85

- energy above the most stable polymorph in this dataset (eV per formula unit) = 0.104
- total moment (μB/atom) = 0.000
- energy of formation from the pure elements (eV/atom) = 0.055


No. 2
VASP calculation (PBEsol) on a relaxed KSrCr4 crystal.

Cell: 8.3486 8.3486 8.3486 Å, 90.00 90.00 90.00°
Closest atoms and distances in Å follow each position.
Space group F-43m (No. 216)
Asymmetric unit:
K1 0.0000 0.0000 0.0000  12 Cr 3.46, 4 Sr 3.62
Sr1 0.2500 0.2500 0.2500  12 Cr 3.46, 4 K 3.62
Cr1 0.1244 0.1244 0.6244  6 Cr 2.94-2.97

- total moment (μB/atom) = 2.827
- energy of formation from the pure elements (eV/atom) = 1.378


No. 3
VASP calculation (PBEsol) on a relaxed BiAsOs2F crystal.

Cell: 4.4683 4.4683 5.6524 Å, 90.00 90.00 90.00°
Closest atoms and distances in Å follow each position.
Space group P4/mmm (No. 123)
Asymmetric unit:
Bi1 0.0000 0.0000 0.0000  2 As 2.83, 4 F 3.16
As1 0.0000 0.0000 0.5000  4 Os 2.23
Os1 0.0000 0.5000 0.5000  2 As 2.23
F1 0.5000 0.5000 0.0000  4 Bi 3.16

- total moment (μB/atom) = 0.382


| no. | E_tot (eV per atom) |
| --- | --- |
| 1 | -2.04 |
| 2 | -5.95 |
| 3 | -5.80 |